(1)
Compound: PdN
Source: OQMD via LeMat-Bulk
Functional: PBE-GGA
Structure: optimized geometry

Summary:
Offset from the most stable computed form: 473 meV per atom
VASP energy: -5.435 eV per atom
SG: P-6m2 (187)

Unit cell a=2.9876 b=2.9876 c=2.8851 alpha=90.00 beta=90.00 gamma=120.00
Element x y z (fractional)
1 Pd 0.0000 0.0000 0.0000
2 N 0.3333 0.6667 0.5000

(2)
Compound: PdN
Source: OQMD via LeMat-Bulk
Functional: PBE-GGA
Structure: optimized geometry

Summary:
Offset from the most stable computed form: 110 meV per atom
VASP energy: -5.797 eV per atom
SG: Pmma (51)

Unit cell a=5.5589 b=2.8220 c=5.9200 alpha=90.00 beta=90.00 gamma=90.00
Element x y z (fractional)
1 Pd 0.0000 0.0000 0.0000
2 Pd 0.2500 0.5000 0.4997
3 Pd 0.5000 0.0000 0.0000
4 Pd 0.7500 0.5000 0.5003
5 N 0.2500 0.0000 0.2586
6 N 0.2500 0.5000 0.8496
7 N 0.7500 0.0000 0.7414
8 N 0.7500 0.5000 0.1504

(3)
Compound: PdN
Source: OQMD via LeMat-Bulk
Functional: PBE-GGA
Structure: optimized geometry

Summary:
Offset from the most stable computed form: 349 meV per atom
VASP energy: -5.559 eV per atom
SG: P6_3/mmc (194)

Unit cell a=3.6984 b=3.6984 c=4.2842 alpha=90.00 beta=90.00 gamma=120.00
Element x y z (fractional)
1 Pd 0.3333 0.6667 0.2500
2 Pd 0.6667 0.3333 0.7500
3 N 0.3333 0.6667 0.7500
4 N 0.6667 0.3333 0.2500

(4)
Compound: PdN
Source: OQMD via LeMat-Bulk
Functional: PBE-GGA
Structure: optimized geometry

Summary:
Offset from the most stable computed form: 291 meV per atom
VASP energy: -5.617 eV per atom
SG: Fm-3m (225)

Unit cell a=3.1266 b=3.1266 c=3.1266 alpha=60.00 beta=60.00 gamma=60.00
Element x y z (fractional)
1 Pd 0.0000 0.0000 0.0000
2 N 0.5000 0.5000 0.5000

(5)
Compound: Pm2PdN
Source: OQMD via LeMat-Bulk
Functional: PBE-GGA
Structure: optimized geometry

Summary:
VASP energy: -6.356 eV per atom
SG: P222_1 (17)

Unit cell a=4.6171 b=5.6693 c=7.3610 alpha=90.00 beta=90.00 gamma=90.00
Element x y z (fractional)
1 Pm 0.0000 0.0654 0.2500
2 Pm 0.0000 0.9346 0.7500
3 Pm 0.4889 0.5000 0.5000
4 Pm 0.5111 0.5000 0.0000
5 Pd 0.5000 0.0000 0.0000
6 Pd 0.5000 0.0000 0.5000
7 N 0.5000 0.2124 0.2500
8 N 0.5000 0.7876 0.7500

(6)
Compound: Rb2PdPtN4
Source: OQMD via LeMat-Bulk
Functional: PBE-GGA
Structure: optimized geometry

Summary:
VASP energy: -5.019 eV per atom
SG: Amm2 (38)

Unit cell a=6.0230 b=6.5264 c=6.5264 alpha=42.80 beta=90.00 gamma=90.00
Element x y z (fractional)
1 Rb 0.0000 0.0000 0.0000
2 Rb 0.5000 0.3831 0.3831
3 Pd 0.0000 0.7128 0.7128
4 Pt 0.5000 0.6735 0.6735
5 N 0.2419 0.5928 0.5928
6 N 0.2741 0.7992 0.7992
7 N 0.7259 0.7992 0.7992
8 N 0.7581 0.5928 0.5928